No. 1
Material: Ac2PtN
Method: DFT, PBE
State: optimized geometry

Summary:
- Calculated volume: 302 Å³ per cell
- Formation energy without anion corrections: -0.973 eV per atom

```
data_Ac2PtN
_symmetry_space_group_name_H-M 'R -3 m'
_symmetry_Int_Tables_number 166
_symmetry_space_group_name_Hall '-R 3 2"'
_cell_length_a 4.0138
_cell_length_b 4.0138
_cell_length_c 21.6216
_cell_angle_alpha 90.00
_cell_angle_beta 90.00
_cell_angle_gamma 120.00
loop_
_atom_site_label
_atom_site_type_symbol
_atom_site_fract_x
_atom_site_fract_y
_atom_site_fract_z
Ac1 Ac 0.0000 0.0000 0.2391
Pt1 Pt 0.0000 0.0000 0.0000
N1 N 0.0000 0.0000 0.5000
```

---

No. 2
Material: Ac4Pt2N
Method: DFT, PBE
State: optimized geometry

Summary:
- Calculated volume: 413 Å³ per cell
- Formation energy without anion corrections: -0.875 eV per atom

```
data_Ac4Pt2N
_symmetry_space_group_name_H-M 'I 4/m m m'
_symmetry_Int_Tables_number 139
_symmetry_space_group_name_Hall '-I 4 2'
_cell_length_a 5.173
_cell_length_b 5.173
_cell_length_c 15.434
_cell_angle_alpha 90.00
_cell_angle_beta 90.00
_cell_angle_gamma 90.00
loop_
_atom_site_label
_atom_site_type_symbol
_atom_site_fract_x
_atom_site_fract_y
_atom_site_fract_z
Ac1 Ac 0.000 0.000 0.182
Ac2 Ac 0.000 0.500 0.000
Pt1 Pt 0.000 0.000 0.372
N1 N 0.000 0.000 0.000
```

---

No. 3
Material: Ac6Pt3N
Method: DFT, PBE
State: optimized geometry

Summary:
- Calculated volume: 619 Å³ per cell
- Formation energy without anion corrections: -0.920 eV per atom

```
data_Ac6Pt3N
_symmetry_space_group_name_H-M 'P 1 21/c 1'
_symmetry_Int_Tables_number 14
_cell_length_a 7.139
_cell_length_b 7.853
_cell_length_c 12.848
_cell_angle_alpha 90.00
_cell_angle_beta 120.73
_cell_angle_gamma 90.00
loop_
_symmetry_equiv_pos_as_xyz
'x,y,z'
'-x,-y,-z'
'-x,y+1/2,-z+1/2'
'x,-y+1/2,z+1/2'
loop_
_atom_site_label
_atom_site_type_symbol
_atom_site_fract_x
_atom_site_fract_y
_atom_site_fract_z
Ac1 Ac 0.097 0.200 0.436
Ac2 Ac 0.229 0.669 0.424
Ac3 Ac 0.388 0.044 0.239
Pt1 Pt 0.177 0.106 0.730
Pt2 Pt 0.500 0.000 0.500
N1 N 0.000 0.000 0.000
```

---

No. 4
Material: Ac2PtN
Method: DFT, PBE
State: optimized geometry

Summary:
- Calculated volume: 89 Å³ per cell
- Formation energy without anion corrections: -0.628 eV per atom

```
data_Ac2PtN
_symmetry_space_group_name_H-M 'P 4/m m m'
_symmetry_Int_Tables_number 123
_symmetry_space_group_name_Hall '-P 4 2'
_cell_length_a 3.508
_cell_length_b 3.508
_cell_length_c 7.264
_cell_angle_alpha 90.00
_cell_angle_beta 90.00
_cell_angle_gamma 90.00
loop_
_atom_site_label
_atom_site_type_symbol
_atom_site_fract_x
_atom_site_fract_y
_atom_site_fract_z
Ac1 Ac 0.000 0.000 0.220
Pt1 Pt 0.500 0.500 0.500
N1 N 0.500 0.500 0.000
```

---

No. 5
Material: Ac2PtN
Method: DFT, PBE
State: optimized geometry

Summary:
- Calculated volume: 302 Å³ per cell
- Formation energy without anion corrections: -0.788 eV per atom

```
data_Ac2PtN
_symmetry_space_group_name_H-M 'R 3 m'
_symmetry_Int_Tables_number 160
_symmetry_space_group_name_Hall 'R 3 -2"'
_cell_length_a 3.9543
_cell_length_b 3.9543
_cell_length_c 22.2731
_cell_angle_alpha 90.00
_cell_angle_beta 90.00
_cell_angle_gamma 120.00
loop_
_atom_site_label
_atom_site_type_symbol
_atom_site_fract_x
_atom_site_fract_y
_atom_site_fract_z
Ac1 Ac 0.0000 0.0000 0.0000
Ac2 Ac 0.0000 0.0000 0.1495
Pt1 Pt 0.0000 0.0000 0.5728
N1 N 0.0000 0.0000 0.3996
```

---

No. 6
Material: Ac2PtN2
Method: DFT, PBE
State: optimized geometry

Summary:
- Calculated volume: 246 Å³ per cell
- Formation energy without anion corrections: -0.755 eV per atom

```
data_Ac2PtN2
_symmetry_space_group_name_H-M 'I 4/m m m'
_symmetry_Int_Tables_number 139
_symmetry_space_group_name_Hall '-I 4 2'
_cell_length_a 5.250
_cell_length_b 5.250
_cell_length_c 8.918
_cell_angle_alpha 90.00
_cell_angle_beta 90.00
_cell_angle_gamma 90.00
loop_
_atom_site_label
_atom_site_type_symbol
_atom_site_fract_x
_atom_site_fract_y
_atom_site_fract_z
Ac1 Ac 0.000 0.500 0.250
Pt1 Pt 0.000 0.000 0.000
N1 N 0.000 0.000 0.230
```